Here is a geometry-optimized LaTm2Al2 structure from Alexandria via LeMat-Bulk. Energies are from PBE.

Values from the calculation:
Electronic total energy, hartree per atom: -0.1596
ΔE_f, kJ/mol of formula units: -35
Total moment, Bohr magnetons per cell: 0.02

Cell lengths 12.626, 12.626, 12.626 Å; angles 157.66, 157.66, 31.79 degrees
Fractional positions:
1 La 0.124 0.124 0.000
2 La 0.876 0.876 0.000
3 Tm 0.250 0.750 0.500
4 Tm 0.433 0.433 0.000
5 Tm 0.567 0.567 0.000
6 Tm 0.750 0.250 0.500
7 Al 0.000 0.500 0.500
8 Al 0.318 0.318 0.000
9 Al 0.500 0.000 0.500
10 Al 0.682 0.682 0.000